[1]
Entry from Alexandria: a geometry-optimized RbBeTl structure (PBE).

Properties
magnetic moment = 0.0 μB per cell
V = 32.6 A^3/atom
energy above the most stable polymorph in this dataset = 0.0116 eV per atom
DFT total energy = -12.56 eV/cell
symmetry = No. 1
energy of formation = 0.260 eV/atom

Unit cell a=4.104 b=4.105 c=13.555 alpha=93.69 beta=94.89 gamma=119.93
Positions (direct):
Tl 0.370 0.054 0.555
Tl 0.494 0.167 0.795
Be 0.766 0.777 0.675
Be 0.099 0.444 0.675
Rb 0.267 0.600 0.005
Rb 0.928 0.291 0.345

[2]
Entry from Alexandria: a geometry-optimized RbBeTl structure (PBE).

Properties
magnetic moment = 0.0 μB per cell
V = 32.3 A^3/atom
energy above the most stable polymorph in this dataset = 0.2035 eV per atom
DFT total energy = -5.71 eV/cell
symmetry = No. 6
energy of formation = 0.452 eV/atom

Unit cell a=3.901 b=6.084 c=4.426 alpha=90.00 beta=112.59 gamma=90.00
Positions (direct):
Rb 0.837 0.500 0.568
Tl 0.521 0.000 0.925
Be 0.186 0.000 0.319

[3]
Entry from Alexandria: a geometry-optimized RbBeTl structure (PBE).

Properties
magnetic moment = 0.0 μB per cell
V = 32.6 A^3/atom
energy above the most stable polymorph in this dataset = 0.0112 eV per atom
DFT total energy = -12.56 eV/cell
symmetry = No. 2
energy of formation = 0.259 eV/atom

Unit cell a=4.104 b=4.103 c=13.411 alpha=89.55 beta=89.20 gamma=60.01
Positions (direct):
Tl 0.495 0.000 0.620
Tl 0.505 0.000 0.380
Rb 0.181 0.668 0.170
Rb 0.819 0.332 0.830
Be 0.833 0.333 0.499
Be 0.167 0.667 0.501

[4]
Entry from Alexandria: a geometry-optimized RbBeTl3 structure (PBE).

Properties
magnetic moment = 0.0 μB per cell
V = 30.2 A^3/atom
energy above the most stable polymorph in this dataset = 0.0000 eV per atom
DFT total energy = -10.70 eV/cell
symmetry = No. 221
energy of formation = 0.219 eV/atom

Unit cell a=5.327 b=5.327 c=5.327 alpha=90.00 beta=90.00 gamma=90.00
Positions (direct):
Tl 0.000 0.000 0.500
Tl 0.500 0.000 0.000
Tl 0.000 0.500 0.000
Rb 0.500 0.500 0.500
Be 0.000 0.000 0.000

[5]
Entry from Alexandria: a geometry-optimized RbBe2Tl2 structure (PBE).

Properties
magnetic moment = 0.0 μB per cell
V = 24.3 A^3/atom
energy above the most stable polymorph in this dataset = 0.2412 eV per atom
DFT total energy = -19.31 eV/cell
symmetry = No. 127
energy of formation = 0.699 eV/atom

Unit cell a=8.806 b=8.806 c=3.135 alpha=90.00 beta=90.00 gamma=90.00
Positions (direct):
Tl 0.640 0.140 0.000
Tl 0.860 0.640 0.000
Tl 0.360 0.860 0.000
Tl 0.140 0.360 0.000
Be 0.863 0.363 0.500
Be 0.137 0.637 0.500
Be 0.363 0.137 0.500
Be 0.637 0.863 0.500
Rb 0.500 0.500 0.000
Rb 0.000 0.000 0.000

[6]
Entry from Alexandria: a geometry-optimized RbBeTl structure (PBE).

Properties
magnetic moment = 0.0 μB per cell
V = 35.3 A^3/atom
energy above the most stable polymorph in this dataset = 0.0000 eV per atom
DFT total energy = -12.63 eV/cell
symmetry = No. 2
energy of formation = 0.248 eV/atom

Unit cell a=4.212 b=4.827 c=10.465 alpha=95.98 beta=90.36 gamma=90.00
Positions (direct):
Rb 0.745 0.795 0.203
Rb 0.255 0.205 0.797
Be 0.250 0.889 0.486
Be 0.750 0.111 0.514
Tl 0.752 0.644 0.603
Tl 0.248 0.356 0.397

[7]
Entry from Alexandria: a geometry-optimized RbBeTl2 structure (PBE).

Properties
magnetic moment = 0.0 μB per cell
V = 39.3 A^3/atom
energy above the most stable polymorph in this dataset = 0.0000 eV per atom
DFT total energy = -16.41 eV/cell
symmetry = No. 141
energy of formation = 0.305 eV/atom

Unit cell a=6.836 b=6.836 c=8.284 alpha=65.63 beta=65.63 gamma=90.00
Positions (direct):
Be 0.250 0.750 0.500
Be 0.500 0.500 0.000
Tl 0.375 0.125 0.250
Tl 0.875 0.625 0.750
Tl 0.375 0.625 0.250
Tl 0.375 0.625 0.750
Rb 0.750 0.250 0.500
Rb 0.000 0.000 0.000

[8]
Entry from Alexandria: a geometry-optimized RbBeTl2 structure (PBE).

Properties
magnetic moment = 0.0 μB per cell
V = 29.2 A^3/atom
energy above the most stable polymorph in this dataset = 0.2783 eV per atom
DFT total energy = -7.09 eV/cell
symmetry = No. 225
energy of formation = 0.584 eV/atom

Unit cell a=5.488 b=5.488 c=5.488 alpha=60.00 beta=60.00 gamma=60.00
Positions (direct):
Rb 0.500 0.500 0.500
Tl 0.750 0.750 0.750
Tl 0.250 0.250 0.250
Be 0.000 0.000 0.000

[9]
Entry from Alexandria: a geometry-optimized RbBeV structure (PBE).

Properties
magnetic moment = 0.0 μB per cell
V = 26.5 A^3/atom
energy above the most stable polymorph in this dataset = 0.0407 eV per atom
DFT total energy = -24.56 eV/cell
symmetry = No. 2
energy of formation = 0.510 eV/atom

Unit cell a=12.546 b=12.551 c=3.909 alpha=82.12 beta=107.04 gamma=162.04
Positions (direct):
Be 0.907 0.225 0.974
Be 0.572 0.893 0.307
Rb 0.600 0.237 0.682
Rb 0.879 0.880 0.597
V 0.320 0.556 0.717
V 0.159 0.562 0.564

[10]
Entry from Alexandria: a geometry-optimized RbBeV structure (PBE).

Properties
magnetic moment = 0.0 μB per cell
V = 32.7 A^3/atom
energy above the most stable polymorph in this dataset = 0.1633 eV per atom
DFT total energy = -23.83 eV/cell
symmetry = No. 8
energy of formation = 0.633 eV/atom

Unit cell a=10.757 b=4.225 c=4.408 alpha=90.00 beta=78.18 gamma=88.79
Positions (direct):
Be 0.185 0.097 0.322
Be 0.185 0.597 0.322
Rb 0.479 0.366 0.175
Rb 0.891 0.831 0.469
V 0.150 0.307 0.839
V 0.220 0.887 0.804

[11]
Entry from Alexandria: a geometry-optimized RbBeV structure (PBE).

Properties
magnetic moment = 0.0 μB per cell
V = 29.3 A^3/atom
energy above the most stable polymorph in this dataset = 0.9061 eV per atom
DFT total energy = -19.37 eV/cell
symmetry = No. 187
energy of formation = 1.375 eV/atom

Unit cell a=5.100 b=5.100 c=7.813 alpha=90.00 beta=90.00 gamma=120.00
Positions (direct):
Rb 0.667 0.333 0.000
Rb 0.667 0.333 0.500
V 0.000 0.000 0.618
V 0.000 0.000 0.382
Be 0.333 0.667 0.361
Be 0.333 0.667 0.639

[12]
Entry from Alexandria: a geometry-optimized RbBeV structure (PBE).

Properties
magnetic moment = 0.0 μB per cell
V = 32.7 A^3/atom
energy above the most stable polymorph in this dataset = 0.1319 eV per atom
DFT total energy = -24.02 eV/cell
symmetry = No. 1
energy of formation = 0.601 eV/atom

Unit cell a=4.422 b=4.585 c=11.050 alpha=89.53 beta=85.30 gamma=61.45
Positions (direct):
Be 0.229 0.558 0.884
Be 0.738 0.543 0.885
Rb 0.256 0.027 0.642
Rb 0.978 0.599 0.224
V 0.680 0.061 0.953
V 0.253 0.054 0.956

[13]
Entry from Alexandria: a geometry-optimized RbBeV structure (PBE).

Properties
magnetic moment = 4.2 μB per cell
V = 28.6 A^3/atom
energy above the most stable polymorph in this dataset = 1.3556 eV per atom
DFT total energy = -8.34 eV/cell
symmetry = No. 216
energy of formation = 1.825 eV/atom

Unit cell a=4.952 b=4.952 c=4.952 alpha=60.00 beta=60.00 gamma=60.00
Positions (direct):
V 0.500 0.500 0.500
Be 0.750 0.750 0.750
Rb 0.250 0.250 0.250

[14]
Entry from Alexandria: a geometry-optimized RbBeV2 structure (PBE).

Properties
magnetic moment = 3.6 μB per cell
V = 23.5 A^3/atom
DFT total energy = -32.97 eV/cell
symmetry = No. 141
energy of formation = 1.612 eV/atom

Unit cell a=4.440 b=4.440 c=10.049 alpha=77.24 beta=77.24 gamma=90.00
Positions (direct):
V 0.375 0.625 0.750
V 0.875 0.625 0.750
V 0.375 0.625 0.250
V 0.375 0.125 0.250
Rb 0.000 0.000 0.000
Rb 0.750 0.250 0.500
Be 0.500 0.500 0.000
Be 0.250 0.750 0.500

[15]
Entry from Alexandria: a geometry-optimized RbBe3V structure (PBE).

Properties
magnetic moment = 4.3 μB per cell
V = 22.4 A^3/atom
energy above the most stable polymorph in this dataset = 0.0000 eV per atom
DFT total energy = -14.64 eV/cell
symmetry = No. 221
energy of formation = 1.325 eV/atom

Unit cell a=4.818 b=4.818 c=4.818 alpha=90.00 beta=90.00 gamma=90.00
Positions (direct):
Rb 0.500 0.500 0.500
Be 0.000 0.500 0.000
Be 0.500 0.000 0.000
Be 0.000 0.000 0.500
V 0.000 0.000 0.000

[16]
Entry from Alexandria: a geometry-optimized Rb3BeV structure (PBE).

Properties
magnetic moment = 5.6 μB per cell
V = 63.8 A^3/atom
DFT total energy = -8.65 eV/cell
symmetry = No. 221
energy of formation = 1.419 eV/atom

Unit cell a=6.832 b=6.832 c=6.832 alpha=90.00 beta=90.00 gamma=90.00
Positions (direct):
Be 0.500 0.500 0.500
V 0.000 0.000 0.000
Rb 0.000 0.500 0.000
Rb 0.000 0.000 0.500
Rb 0.500 0.000 0.000

[17]
Entry from Alexandria: a geometry-optimized RbBeV structure (PBE).

Properties
magnetic moment = 0.0 μB per cell
V = 26.6 A^3/atom
energy above the most stable polymorph in this dataset = 0.0588 eV per atom
DFT total energy = -24.46 eV/cell
symmetry = No. 1
energy of formation = 0.528 eV/atom

Unit cell a=3.612 b=3.608 c=12.397 alpha=98.64 beta=90.43 gamma=90.01
Positions (direct):
V 0.196 0.890 0.866
V 0.696 0.391 0.867
Rb 0.686 0.762 0.593
Rb 0.201 0.067 0.239
Be 0.200 0.454 0.990
Be 0.699 0.955 0.990

[18]
Entry from Alexandria: a geometry-optimized RbBeV structure (PBE).

Properties
magnetic moment = 0.0 μB per cell
V = 31.2 A^3/atom
energy above the most stable polymorph in this dataset = 0.4857 eV per atom
DFT total energy = -21.89 eV/cell
symmetry = No. 1
energy of formation = 0.955 eV/atom

Unit cell a=7.009 b=4.305 c=7.216 alpha=111.12 beta=80.96 gamma=74.29
Positions (direct):
V 0.278 0.087 0.835
V 0.338 0.499 0.893
Rb 0.508 0.159 0.293
Rb 0.880 0.646 0.664
Be 0.057 0.056 0.116
Be 0.047 0.568 0.130

[19]
Entry from Alexandria: a geometry-optimized RbBeV structure (PBE).

Properties
magnetic moment = 7.5 μB per cell
V = 23.9 A^3/atom
energy above the most stable polymorph in this dataset = 1.1220 eV per atom
DFT total energy = -18.08 eV/cell
symmetry = No. 194
energy of formation = 1.591 eV/atom

Unit cell a=5.265 b=5.265 c=5.981 alpha=90.00 beta=90.00 gamma=120.00
Positions (direct):
Rb 0.000 0.000 0.249
Rb 0.000 0.000 0.749
V 0.333 0.667 0.501
V 0.667 0.333 0.001
Be 0.333 0.667 0.000
Be 0.667 0.333 0.500

[20]
Entry from Alexandria: a geometry-optimized RbBeV structure (PBE).

Properties
magnetic moment = 0.0 μB per cell
V = 27.1 A^3/atom
energy above the most stable polymorph in this dataset = 0.5299 eV per atom
DFT total energy = -43.26 eV/cell
symmetry = No. 62
energy of formation = 0.999 eV/atom

Unit cell a=8.770 b=3.193 c=11.608 alpha=90.00 beta=90.00 gamma=90.00
Positions (direct):
Rb 0.443 0.750 0.327
Rb 0.057 0.250 0.827
Rb 0.943 0.750 0.173
Rb 0.557 0.250 0.673
V 0.578 0.250 0.038
V 0.922 0.750 0.538
V 0.078 0.250 0.462
V 0.422 0.750 0.962
Be 0.299 0.250 0.076
Be 0.799 0.250 0.424
Be 0.701 0.750 0.924
Be 0.201 0.750 0.576

[21]
Entry from Alexandria: a geometry-optimized RbBe3V structure (PBE).

Properties
magnetic moment = 2.8 μB per cell
V = 22.7 A^3/atom
energy above the most stable polymorph in this dataset = 1.4245 eV per atom
DFT total energy = -7.52 eV/cell
symmetry = No. 221
energy of formation = 2.749 eV/atom

Unit cell a=4.842 b=4.842 c=4.842 alpha=90.00 beta=90.00 gamma=90.00
Positions (direct):
Be 0.500 0.000 0.000
Be 0.000 0.000 0.500
Be 0.000 0.500 0.000
Rb 0.000 0.000 0.000
V 0.500 0.500 0.500

[22]
Entry from Alexandria: a geometry-optimized RbBeV structure (PBE).

Properties
magnetic moment = 0.0 μB per cell
V = 25.1 A^3/atom
energy above the most stable polymorph in this dataset = 0.0000 eV per atom
DFT total energy = -24.81 eV/cell
symmetry = No. 4
energy of formation = 0.469 eV/atom

Unit cell a=12.355 b=3.293 c=3.740 alpha=90.00 beta=82.11 gamma=90.00
Positions (direct):
Be 0.942 0.254 0.026
Be 0.058 0.754 0.974
Rb 0.318 0.265 0.842
Rb 0.682 0.765 0.158
V 0.071 0.254 0.467
V 0.929 0.754 0.533

[23]
Entry from Alexandria: a geometry-optimized RbBeV structure (PBE).

Properties
magnetic moment = 0.0 μB per cell
V = 26.7 A^3/atom
energy above the most stable polymorph in this dataset = 0.0403 eV per atom
DFT total energy = -24.57 eV/cell
symmetry = No. 1
energy of formation = 0.510 eV/atom

Unit cell a=12.189 b=3.930 c=3.932 alpha=59.97 beta=99.02 gamma=90.32
Positions (direct):
Rb 0.638 0.876 0.034
Rb 0.001 0.068 0.629
V 0.402 0.279 0.217
V 0.237 0.329 0.112
Be 0.320 0.637 0.498
Be 0.320 0.970 0.832

[24]
Entry from Alexandria: a geometry-optimized RbBeV structure (PBE).

Properties
magnetic moment = 3.1 μB per cell
V = 31.8 A^3/atom
energy above the most stable polymorph in this dataset = 0.4548 eV per atom
DFT total energy = -22.08 eV/cell
symmetry = No. 129
energy of formation = 0.924 eV/atom

Unit cell a=4.410 b=4.410 c=9.816 alpha=90.00 beta=90.00 gamma=90.00
Positions (direct):
Be 0.000 0.000 0.500
Be 0.500 0.500 0.500
Rb 0.000 0.500 0.206
Rb 0.500 0.000 0.794
V 0.000 0.500 0.554
V 0.500 0.000 0.446

[25]
Entry from Alexandria: a geometry-optimized RbBeV structure (PBE).

Properties
magnetic moment = 0.0 μB per cell
V = 25.2 A^3/atom
energy above the most stable polymorph in this dataset = 0.0004 eV per atom
DFT total energy = -24.81 eV/cell
symmetry = No. 1
energy of formation = 0.470 eV/atom

Unit cell a=3.742 b=3.293 c=12.499 alpha=97.33 beta=98.00 gamma=90.00
Positions (direct):
Be 0.204 0.375 0.981
Be 0.151 0.819 0.867
V 0.711 0.881 0.995
V 0.644 0.313 0.853
Rb 0.022 0.198 0.607
Rb 0.337 0.003 0.241

[26]
Entry from Alexandria: a geometry-optimized RbBeV structure (PBE).

Properties
magnetic moment = 8.1 μB per cell
V = 29.9 A^3/atom
energy above the most stable polymorph in this dataset = 0.8638 eV per atom
DFT total energy = -19.63 eV/cell
symmetry = No. 194
energy of formation = 1.333 eV/atom

Unit cell a=4.217 b=4.217 c=11.643 alpha=90.00 beta=90.00 gamma=120.00
Positions (direct):
V 0.333 0.667 0.750
V 0.667 0.333 0.250
Be 0.667 0.333 0.750
Be 0.333 0.667 0.250
Rb 0.000 0.000 0.000
Rb 0.000 0.000 0.500

[27]
Entry from Alexandria: a geometry-optimized RbBeV structure (PBE).

Properties
magnetic moment = 0.0 μB per cell
V = 32.4 A^3/atom
energy above the most stable polymorph in this dataset = 0.1443 eV per atom
DFT total energy = -23.94 eV/cell
symmetry = No. 6
energy of formation = 0.614 eV/atom

Unit cell a=10.926 b=4.059 c=4.393 alpha=90.00 beta=85.46 gamma=90.00
Positions (direct):
Be 0.954 0.500 0.907
Be 0.974 0.500 0.404
V 0.892 0.000 0.637
V 0.897 0.000 0.199
Rb 0.624 0.500 0.242
Rb 0.204 0.000 0.834